# 1
{
  "formula": "Pm3TlO",
  "functional": "PBE-GGA",
  "state": "relaxed",
  "lattice_angstrom": [[-1.156, 4.786, -0.203], [-4.789, -1.150, 0.154], [0.102, 0.233, 4.921]],
  "species": ["Pm", "Pm", "Tl", "O", "Pm"],
  "fractional_positions": [[0.000, 0.500, 0.000], [0.500, 0.000, 0.000], [0.500, 0.500, 0.500], [0.000, 0.000, 0.000], [0.000, 0.000, 0.500]],
  "vol_a3_per_atom": 23.93,
  "rho_g_cm3": 9.10,
  "total_energy_ev_per_atom": -5.67
}

# 2
{
  "formula": "Pm2Tm2O5",
  "functional": "PBE-GGA",
  "state": "relaxed",
  "lattice_angstrom": [[-4.401, -2.535, -5.671], [-2.599, -1.826, 2.833], [-2.303, 3.574, 0.190]],
  "species": ["Pm", "O", "Tm", "Tm", "O", "O", "O", "O", "Pm"],
  "fractional_positions": [[0.500, 0.000, 0.000], [0.241, 0.500, 0.000], [0.229, 0.500, 0.500], [0.771, 0.500, 0.500], [0.241, 0.000, 0.500], [0.759, 0.500, 0.000], [0.500, 0.500, 0.500], [0.759, 0.000, 0.500], [0.000, 0.000, 0.000]],
  "vol_a3_per_atom": 15.32,
  "rho_g_cm3": 8.52,
  "e_above_lowest_polymorph_mev_per_atom": 0,
  "total_energy_ev_per_atom": -7.61
}

# 3
{
  "formula": "Pm2Tm2O5",
  "functional": "PBE-GGA",
  "state": "relaxed",
  "lattice_angstrom": [[-6.955, -5.426, 3.848], [-0.585, -1.717, -3.477], [2.647, -2.747, 0.911]],
  "species": ["O", "Tm", "Tm", "Pm", "O", "O", "Pm", "O", "O"],
  "fractional_positions": [[0.864, 0.000, 0.500], [0.000, 0.000, 0.000], [0.500, 0.000, 0.000], [0.241, 0.500, 0.500], [0.864, 0.500, 0.000], [0.500, 0.500, 0.500], [0.759, 0.500, 0.500], [0.136, 0.000, 0.500], [0.136, 0.500, 0.000]],
  "vol_a3_per_atom": 16.45,
  "rho_g_cm3": 7.94,
  "e_above_lowest_polymorph_mev_per_atom": 49,
  "total_energy_ev_per_atom": -7.56
}

# 4
{
  "formula": "PmTm2O4",
  "functional": "PBE-GGA",
  "state": "relaxed",
  "lattice_angstrom": [[3.268, 1.873, -5.601], [3.144, -3.753, 4.645], [-4.906, -2.703, -3.765]],
  "species": ["O", "Tm", "O", "O", "O", "Tm", "O", "Tm", "Tm", "Pm", "O", "O", "Pm", "O"],
  "fractional_positions": [[0.612, 0.776, 0.388], [0.375, 0.750, 0.625], [0.612, 0.224, 0.836], [0.612, 0.224, 0.388], [0.586, 0.724, 0.862], [0.375, 0.750, 0.125], [0.138, 0.276, 0.862], [0.875, 0.250, 0.625], [0.375, 0.250, 0.625], [0.000, 0.000, 0.000], [0.138, 0.276, 0.414], [0.164, 0.776, 0.388], [0.750, 0.500, 0.250], [0.138, 0.724, 0.862]],
  "vol_a3_per_atom": 15.53,
  "rho_g_cm3": 8.35,
  "total_energy_ev_per_atom": -8.05
}

# 5
{
  "formula": "PmY2O4",
  "functional": "PBE-GGA",
  "state": "relaxed",
  "lattice_angstrom": [[4.835, -4.837, 0.000], [-4.835, 0.000, -4.837], [4.835, 4.837, 0.000]],
  "species": ["O", "O", "O", "Y", "Pm", "O", "Y", "Y", "O", "O", "Pm", "O", "Y", "O"],
  "fractional_positions": [[0.158, 0.772, 0.386], [0.614, 0.228, 0.842], [0.136, 0.272, 0.864], [0.875, 0.250, 0.625], [0.000, 0.000, 0.000], [0.614, 0.772, 0.386], [0.375, 0.750, 0.125], [0.375, 0.250, 0.625], [0.614, 0.228, 0.386], [0.592, 0.728, 0.864], [0.750, 0.500, 0.250], [0.136, 0.728, 0.864], [0.375, 0.750, 0.625], [0.136, 0.272, 0.408]],
  "vol_a3_per_atom": 16.16,
  "rho_g_cm3": 5.68,
  "total_energy_ev_per_atom": -8.55
}

# 6
{
  "formula": "Pm2Zn2O5",
  "functional": "PBE-GGA",
  "state": "relaxed",
  "lattice_angstrom": [[-3.157, -3.814, -5.184], [3.350, -2.003, -0.566], [-1.148, -2.671, 2.664]],
  "species": ["Zn", "O", "Pm", "Pm", "O", "O", "Zn", "O", "O"],
  "fractional_positions": [[0.230, 0.500, 0.500], [0.792, 0.000, 0.500], [0.500, 0.000, 0.000], [0.000, 0.000, 0.000], [0.500, 0.500, 0.500], [0.208, 0.000, 0.500], [0.770, 0.500, 0.500], [0.208, 0.500, 0.000], [0.792, 0.500, 0.000]],
  "vol_a3_per_atom": 12.39,
  "rho_g_cm3": 7.46,
  "e_above_lowest_polymorph_mev_per_atom": 0,
  "total_energy_ev_per_atom": -6.31
}

# 7
{
  "formula": "Pm2Zn2O5",
  "functional": "PBE-GGA",
  "state": "relaxed",
  "lattice_angstrom": [[-5.791, -6.066, -2.722], [2.957, -2.747, -0.168], [-0.733, -1.023, 3.838]],
  "species": ["Zn", "O", "O", "O", "Zn", "Pm", "Pm", "O", "O"],
  "fractional_positions": [[0.000, 0.000, 0.000], [0.135, 0.000, 0.500], [0.865, 0.000, 0.500], [0.500, 0.500, 0.500], [0.500, 0.000, 0.000], [0.242, 0.500, 0.500], [0.758, 0.500, 0.500], [0.135, 0.500, 0.000], [0.865, 0.500, 0.000]],
  "vol_a3_per_atom": 15.99,
  "rho_g_cm3": 5.78,
  "e_above_lowest_polymorph_mev_per_atom": 526,
  "total_energy_ev_per_atom": -5.79
}

# 8
{
  "formula": "Pm2Zr2O5",
  "functional": "PBE-GGA",
  "state": "relaxed",
  "lattice_angstrom": [[-2.740, 6.886, -0.407], [-2.659, -1.233, -2.950], [-2.805, -0.943, 2.922]],
  "species": ["Pm", "Zr", "O", "O", "O", "O", "Zr", "Pm", "O"],
  "fractional_positions": [[0.500, 0.000, 0.000], [0.217, 0.500, 0.500], [0.747, 0.000, 0.500], [0.747, 0.500, 0.000], [0.253, 0.500, 0.000], [0.253, 0.000, 0.500], [0.783, 0.500, 0.500], [0.000, 0.000, 0.000], [0.500, 0.500, 0.500]],
  "vol_a3_per_atom": 14.26,
  "rho_g_cm3": 7.15,
  "e_above_lowest_polymorph_mev_per_atom": 0,
  "total_energy_ev_per_atom": -8.40
}